DFT (PBE) results for crystalline SrTcAu2 at its relaxed geometry.

Output
Its uncorrected energy is -17.9 eV for the cell shown. As for the formation energy: 164 meV/atom. The calculated volume comes out at 21.5 Å³ per atom. The value obtained for the energy above the most stable polymorph in this dataset is 127 meV per atom.

a b c (Å): 3.209 3.775 7.085
angles (deg): 90.00 90.00 90.00
Fractional positions:
Sr 0.500 0.500 0.250
Au 0.000 0.000 0.551
Au 0.000 0.000 0.949
Tc 0.500 0.500 0.750